No. 1
# BaPtPb

Crystalline BaPtPb at its relaxed geometry (PBEsol, Alexandria via LeMat-Bulk).

Cell: 7.144 7.144 7.144 Å, 90.00 90.00 90.00°
Space group F-43m (No. 216)
Symmetry-distinct sites (fractional):
Ba 0.000 0.000 0.000
Pt 0.250 0.250 0.250
Pb 0.000 0.000 0.500

Calculated values
For the energy relative to the elements, the calculation gives -97 kJ/mol of formula units. Its volume is 91 Å³/f.u. The total energy is -0.173 Ha/atom.


No. 2
# Si2AgSb

Crystalline Si2AgSb at its relaxed geometry (PBEsol, Alexandria via LeMat-Bulk).

Cell: 3.0662 3.0662 27.5561 Å, 90.00 90.00 120.00°
Space group R-3m (No. 166, hexagonal axes)
Symmetry-distinct sites (fractional):
Si 0.0000 0.0000 0.2404
Ag 0.0000 0.0000 0.5000
Sb 0.0000 0.0000 0.0000

Calculated values
Its volume is 75 Å³/f.u. The total energy is -0.161 Ha/atom.


No. 3
# Sc2CuHgPd

Crystalline Sc2CuHgPd at its relaxed geometry (PBEsol, Alexandria via LeMat-Bulk).

Cell: 5.144 5.144 4.913 Å, 90.00 90.00 90.00°
Space group P4/mmm (No. 123)
Symmetry-distinct sites (fractional):
Sc 0.000 0.500 0.000
Cu 0.000 0.000 0.500
Hg 0.500 0.500 0.000
Pd 0.500 0.500 0.500

Calculated values
For the energy relative to the elements, the calculation gives 366 kJ/mol of formula units. Its volume is 130 Å³/f.u. The total energy is -0.149 Ha/atom.


No. 4
# WCl5

Crystalline WCl5 at its relaxed geometry (PBEsol, Alexandria via LeMat-Bulk).

Cell: 17.479 17.627 6.167 Å, 90.00 96.55 90.00°
Space group C2/m (No. 12)
Symmetry-distinct sites (fractional):
W 0.000 0.109 0.000
W 0.166 0.392 0.565
Cl 0.075 0.000 0.875
Cl 0.075 0.097 0.324
Cl 0.080 0.192 0.867
Cl 0.088 0.308 0.375
Cl 0.088 0.403 0.834
Cl 0.092 0.500 0.387
Cl 0.240 0.500 0.743
Cl 0.244 0.404 0.295
Cl 0.245 0.309 0.755

Calculated values
Its volume is 157 Å³/f.u. The total energy is -0.176 Ha/atom.


No. 5
# Fe2HgRh

Crystalline Fe2HgRh at its relaxed geometry (PBEsol, Alexandria via LeMat-Bulk).

Cell: 6.089 6.089 6.089 Å, 90.00 90.00 90.00°
Space group F-43m (No. 216)
Symmetry-distinct sites (fractional):
Fe 0.000 0.000 0.000
Fe 0.250 0.250 0.250
Hg 0.250 0.250 0.750
Rh 0.000 0.000 0.500

Calculated values
For the energy relative to the elements, the calculation gives 108 kJ/mol of formula units. Its volume is 56 Å³/f.u. The total energy is -0.234 Ha/atom.


No. 6
# Rb2CrAg

Crystalline Rb2CrAg at its relaxed geometry (PBEsol, Alexandria via LeMat-Bulk).

Cell: 8.408 8.408 8.408 Å, 90.00 90.00 90.00°
Space group Fm-3m (No. 225)
Symmetry-distinct sites (fractional):
Rb 0.250 0.250 0.250
Cr 0.000 0.000 0.000
Ag 0.000 0.000 0.500

Calculated values
For the energy relative to the elements, the calculation gives 348 kJ/mol of formula units. Its volume is 149 Å³/f.u. The total energy is -0.110 Ha/atom.


No. 7
# Zn2FeCu

Crystalline Zn2FeCu at its relaxed geometry (PBEsol, Alexandria via LeMat-Bulk).

Cell: 2.579 3.535 5.321 Å, 90.00 90.00 90.00°
Space group Pmmm (No. 47)
Symmetry-distinct sites (fractional):
Zn 0.000 0.000 0.248
Fe 0.500 0.500 0.000
Cu 0.500 0.500 0.500

Calculated values
For the energy relative to the elements, the calculation gives 5 kJ/mol of formula units. Its volume is 49 Å³/f.u. The total energy is -0.151 Ha/atom.


No. 8
# YIn2Mo

Crystalline YIn2Mo at its relaxed geometry (PBEsol, Alexandria via LeMat-Bulk).

Cell: 6.076 8.795 3.090 Å, 90.00 90.00 90.00°
Space group Cmmm (No. 65)
Symmetry-distinct sites (fractional):
Y 0.000 0.000 0.000
In 0.250 0.250 0.500
Mo 0.000 0.500 0.000

Calculated values
For the energy relative to the elements, the calculation gives 42 kJ/mol of formula units. Its volume is 83 Å³/f.u. As for the energy above the lowest structure with this stoichiometry: 0 meV per atom. The total energy is -0.222 Ha/atom.


No. 9
# AlMo4Pt

Crystalline AlMo4Pt at its relaxed geometry (PBEsol, Alexandria via LeMat-Bulk).

Cell: 7.249 7.249 7.249 Å, 90.00 90.00 90.00°
Space group F-43m (No. 216)
Symmetry-distinct sites (fractional):
Al 0.000 0.000 0.000
Mo 0.126 0.126 0.374
Pt 0.250 0.250 0.750

Calculated values
For the energy relative to the elements, the calculation gives 147 kJ/mol of formula units. Its volume is 95 Å³/f.u. The total energy is -0.347 Ha/atom.


No. 10
# Ga3Pb

Crystalline Ga3Pb at its relaxed geometry (PBEsol, Alexandria via LeMat-Bulk).

Cell: 4.395 4.395 4.395 Å, 90.00 90.00 90.00°
Space group Pm-3m (No. 221)
Symmetry-distinct sites (fractional):
Ga 0.000 0.000 0.500
Pb 0.500 0.500 0.500

Calculated values
For the energy relative to the elements, the calculation gives 39 kJ/mol of formula units. Its volume is 85 Å³/f.u. The total energy is -0.125 Ha/atom.


No. 11
# AlCdW2

Crystalline AlCdW2 at its relaxed geometry (PBEsol, Alexandria via LeMat-Bulk).

Cell: 2.732 4.458 5.481 Å, 90.00 104.05 90.00°
Space group P2/m (No. 10)
Symmetry-distinct sites (fractional):
Al 0.000 0.000 0.000
Cd 0.000 0.000 0.500
W 0.492 0.500 0.233

Calculated values
For the energy relative to the elements, the calculation gives 140 kJ/mol of formula units. Its volume is 65 Å³/f.u. As for the energy above the lowest structure with this stoichiometry: 83 meV per atom. The total energy is -0.289 Ha/atom.


No. 12
# CdBi3As

Crystalline CdBi3As at its relaxed geometry (PBEsol, Alexandria via LeMat-Bulk).

Cell: 5.504 5.504 5.504 Å, 90.00 90.00 90.00°
Space group Pm-3m (No. 221)
Symmetry-distinct sites (fractional):
Cd 0.000 0.000 0.000
Bi 0.000 0.500 0.500
As 0.500 0.500 0.500

Calculated values
For the energy relative to the elements, the calculation gives 278 kJ/mol of formula units. Its volume is 167 Å³/f.u. The total energy is -0.120 Ha/atom.


No. 13
# Dy3In

Crystalline Dy3In at its relaxed geometry (PBEsol, Alexandria via LeMat-Bulk).

Cell: 4.741 4.741 4.741 Å, 90.00 90.00 90.00°
Space group Pm-3m (No. 221)
Symmetry-distinct sites (fractional):
Dy 0.000 0.000 0.500
In 0.500 0.500 0.500

Calculated values
For the energy relative to the elements, the calculation gives -118 kJ/mol of formula units. Its volume is 107 Å³/f.u. The total energy is -0.176 Ha/atom.


No. 14
# PrMoO4F

Crystalline PrMoO4F at its relaxed geometry (PBEsol, Alexandria via LeMat-Bulk).

Cell: 6.916 6.553 10.009 Å, 90.00 115.53 90.00°
Space group P2_1/c (No. 14)
Symmetry-distinct sites (fractional):
Pr 0.198 0.128 0.423
Mo 0.332 0.636 0.667
O 0.166 0.642 0.083
O 0.214 0.097 0.090
O 0.440 0.608 0.864
O 0.448 0.161 0.871
F 0.019 0.616 0.737

Calculated values
Its volume is 102 Å³/f.u. The total energy is -0.313 Ha/atom.


No. 15
# YCd2In

Crystalline YCd2In at its relaxed geometry (PBEsol, Alexandria via LeMat-Bulk).

Cell: 4.564 4.564 8.847 Å, 90.00 90.00 90.00°
Space group I4/mmm (No. 139)
Symmetry-distinct sites (fractional):
Y 0.000 0.000 0.000
Cd 0.000 0.500 0.250
In 0.000 0.000 0.500

Calculated values
For the energy relative to the elements, the calculation gives -118 kJ/mol of formula units. Its volume is 92 Å³/f.u. The total energy is -0.123 Ha/atom.


No. 16
# ThSiOs2C

Crystalline ThSiOs2C at its relaxed geometry (PBEsol, Alexandria via LeMat-Bulk).

Cell: 3.951 11.161 7.126 Å, 90.00 90.00 90.00°
Space group Cmcm (No. 63)
Symmetry-distinct sites (fractional):
Th 0.000 0.053 0.250
Si 0.000 0.227 0.750
Os 0.000 0.334 0.057
C 0.000 0.500 0.000

Calculated values
Its volume is 79 Å³/f.u. The total energy is -0.372 Ha/atom.


No. 17
# ZrTe2Pb

Crystalline ZrTe2Pb at its relaxed geometry (PBEsol, Alexandria via LeMat-Bulk).

Cell: 7.427 7.427 7.427 Å, 90.00 90.00 90.00°
Space group F-43m (No. 216)
Symmetry-distinct sites (fractional):
Zr 0.000 0.000 0.000
Te 0.000 0.000 0.500
Te 0.250 0.250 0.750
Pb 0.250 0.250 0.250

Calculated values
Its volume is 102 Å³/f.u. The total energy is -0.180 Ha/atom.


No. 18
# HfPS2I

Crystalline HfPS2I at its relaxed geometry (PBEsol, Alexandria via LeMat-Bulk).

Cell: 4.771 4.771 5.352 Å, 90.00 90.00 90.00°
Space group P4/mmm (No. 123)
Symmetry-distinct sites (fractional):
Hf 0.000 0.000 0.000
P 0.000 0.000 0.500
S 0.000 0.500 0.000
I 0.500 0.500 0.500

Calculated values
Its volume is 122 Å³/f.u. The total energy is -0.203 Ha/atom.


No. 19
# ScAlS2

Crystalline ScAlS2 at its relaxed geometry (PBEsol, Alexandria via LeMat-Bulk).

Cell: 5.608 5.608 10.629 Å, 90.00 90.00 90.00°
Space group I-42d (No. 122)
Symmetry-distinct sites (fractional):
Sc 0.000 0.000 0.000
Al 0.000 0.000 0.500
S 0.216 0.250 0.625

Calculated values
Its volume is 84 Å³/f.u. The total energy is -0.214 Ha/atom.


No. 20
# HfZr2Sb2

Crystalline HfZr2Sb2 at its relaxed geometry (PBEsol, Alexandria via LeMat-Bulk).

Cell: 7.623 7.623 3.751 Å, 90.00 90.00 90.00°
Space group P4/mbm (No. 127)
Symmetry-distinct sites (fractional):
Hf 0.000 0.000 0.000
Zr 0.154 0.346 0.500
Sb 0.145 0.645 0.000

Calculated values
Its volume is 109 Å³/f.u. The total energy is -0.302 Ha/atom.


No. 21
# MgAs2P2

Crystalline MgAs2P2 at its relaxed geometry (PBEsol, Alexandria via LeMat-Bulk).

Cell: 7.405 7.405 3.430 Å, 90.00 90.00 90.00°
Space group P4/mbm (No. 127)
Symmetry-distinct sites (fractional):
Mg 0.000 0.000 0.000
As 0.168 0.332 0.500
P 0.177 0.677 0.000

Calculated values
For the energy relative to the elements, the calculation gives 33 kJ/mol of formula units. Its volume is 94 Å³/f.u. The total energy is -0.170 Ha/atom.


No. 22
# Li4MnFe3B4O12

Crystalline Li4MnFe3B4O12 at its relaxed geometry (PBEsol, Alexandria via LeMat-Bulk).

Cell: 5.147 5.170 9.813 Å, 90.35 91.55 119.81°
Space group P1 (No. 1)
Symmetry-distinct sites (fractional):
Li 0.000 0.000 0.000
Li 0.019 0.043 0.506
Li 0.312 0.306 0.749
Li 0.336 0.356 0.257
Mn 0.666 0.335 0.035
Fe 0.008 0.688 0.290
Fe 0.360 0.718 0.550
Fe 0.624 0.968 0.768
B 0.330 0.670 0.039
B 0.679 0.017 0.294
B 0.687 0.374 0.538
B 0.969 0.645 0.786
O 0.084 0.702 0.071
O 0.219 0.619 0.759
O 0.309 0.395 0.054
O 0.415 0.361 0.550
O 0.423 0.750 0.320
O 0.591 0.914 0.997
O 0.665 0.270 0.261
O 0.704 0.386 0.813
O 0.715 0.123 0.560
O 0.944 0.637 0.505
O 0.956 0.031 0.301
O 0.986 0.920 0.790

Calculated values
Its volume is 226 Å³/f.u. The total energy is -0.277 Ha/atom.


No. 23
# BaCo2Te2

Crystalline BaCo2Te2 at its relaxed geometry (PBEsol, Alexandria via LeMat-Bulk).

Cell: 4.182 4.182 12.869 Å, 90.00 90.00 90.00°
Space group I4/mmm (No. 139)
Symmetry-distinct sites (fractional):
Ba 0.000 0.000 0.000
Co 0.000 0.500 0.250
Te 0.000 0.000 0.354

Calculated values
Its volume is 113 Å³/f.u. As for the energy above the lowest structure with this stoichiometry: 0 meV per atom. The total energy is -0.200 Ha/atom.


No. 24
# ZrAg3Pb

Crystalline ZrAg3Pb at its relaxed geometry (PBEsol, Alexandria via LeMat-Bulk).

Cell: 5.059 5.059 5.059 Å, 90.00 90.00 90.00°
Space group Pm-3m (No. 221)
Symmetry-distinct sites (fractional):
Zr 0.000 0.000 0.000
Ag 0.000 0.500 0.500
Pb 0.500 0.500 0.500

Calculated values
For the energy relative to the elements, the calculation gives 505 kJ/mol of formula units. Its volume is 129 Å³/f.u. The total energy is -0.131 Ha/atom.